# 1
The following is a PBE calculation of a geometry-optimized Mg2Re structure, from Alexandria via LeMat-Bulk. Values from VASP.

The value obtained for the formation enthalpy at 0 K is 0.3283 eV per atom. The calculated density is 7.44 g/cm3. The calculation puts the energy above the most stable polymorph in this dataset at 0.103 eV/atom. Its energy is -4.88 eV/atom.

```
&SYSTEM
  ibrav = 0, nat = 3, ntyp = 2
/
ATOMIC_SPECIES
Mg 24.30 Mg.upf
Re 186.21 Re.upf
CELL_PARAMETERS angstrom
-0.756 -1.474 2.359
-1.487 -0.334 -2.447
4.450 -5.425 -1.963
ATOMIC_POSITIONS crystal
Mg 0.667 0.333 0.684
Re 0.000 0.000 0.000
Mg 0.333 0.667 0.316
```

***

# 2
The following is a PBE calculation of a geometry-optimized MgRe2 structure, from Alexandria via LeMat-Bulk. Values from VASP.

The value obtained for the formation enthalpy at 0 K is 0.5965 eV per atom. The calculated density is 12.45 g/cm3. The calculation puts the energy above the most stable polymorph in this dataset at 0.479 eV/atom. Its energy is -8.23 eV/atom.

```
&SYSTEM
  ibrav = 0, nat = 6, ntyp = 2
/
ATOMIC_SPECIES
Mg 24.30 Mg.upf
Re 186.21 Re.upf
CELL_PARAMETERS angstrom
-1.341 2.353 8.385
1.341 -2.353 8.385
1.341 2.353 -8.385
ATOMIC_POSITIONS crystal
Mg 0.118 0.368 0.750
Re 0.715 0.965 0.750
Re 0.432 0.182 0.250
Mg 0.882 0.632 0.250
Re 0.285 0.035 0.250
Re 0.568 0.818 0.750
```

***

# 3
The following is a PBE calculation of a geometry-optimized Mg2Re structure, from Alexandria via LeMat-Bulk. Values from VASP.

The value obtained for the formation enthalpy at 0 K is 0.2252 eV per atom. The calculated density is 7.38 g/cm3. The calculation puts the energy above the most stable polymorph in this dataset at 0.000 eV/atom. Its energy is -4.99 eV/atom.

```
&SYSTEM
  ibrav = 0, nat = 6, ntyp = 2
/
ATOMIC_SPECIES
Mg 24.30 Mg.upf
Re 186.21 Re.upf
CELL_PARAMETERS angstrom
-4.783 2.765 -0.085
1.244 -4.907 -2.214
-1.237 -2.023 3.788
ATOMIC_POSITIONS crystal
Mg 0.245 0.755 0.750
Mg 0.583 0.417 0.750
Mg 0.417 0.583 0.250
Mg 0.755 0.245 0.250
Re 0.940 0.060 0.750
Re 0.060 0.940 0.250
```

***

The highest calculated density belongs to which entry? MgRe2

***

Among the records above, which one has the highest calculated density? MgRe2

***

energy of number 3 (Mg2Re)? -4.99 eV/atom

***

The highest energy belongs to which entry? number 1